LaPmTh after structural relaxation, computed with PBE.

Lattice parameters (Å, degrees): 5.459 5.459 5.459 60.00 60.00 60.00
Atoms (fractional coordinates):
La  0.000  0.000  0.000
Pm  0.250  0.250  0.250
Th  0.500  0.500  0.500

Calculated values
Energy above the most stable polymorph in this dataset: 0.000 eV/atom

Ho4PbC2Se after structural relaxation, computed with PBE.

Lattice parameters (Å, degrees): 3.684 3.684 14.630 90.00 90.00 120.00
Atoms (fractional coordinates):
Ho  0.000  0.000  0.136
Ho  0.000  0.000  0.864
Ho  0.333  0.667  0.317
Ho  0.333  0.667  0.683
Pb  0.000  0.000  0.500
C  0.667  0.333  0.229
C  0.667  0.333  0.771
Se  0.333  0.667  0.000

Calculated values
Electronic total energy: -6.325 eV/atom

CoSnB after structural relaxation, computed with PBE.

Lattice parameters (Å, degrees): 3.825 3.825 3.825 60.00 60.00 60.00
Atoms (fractional coordinates):
Co  0.000  0.000  0.000
Sn  0.500  0.500  0.500
B  0.250  0.250  0.250

Calculated values
Energy above the most stable polymorph in this dataset: 0.000 eV/atom

AlBiIrAu after structural relaxation, computed with PBE.

Lattice parameters (Å, degrees): 4.755 4.755 4.755 60.00 60.00 60.00
Atoms (fractional coordinates):
Al  0.000  0.000  0.000
Bi  0.500  0.500  0.500
Ir  0.750  0.750  0.750
Au  0.250  0.250  0.250

Calculated values
Energy above the most stable polymorph in this dataset: 0.000 eV/atom